# FePO4

Crystalline FePO4 at its relaxed geometry (PBE with a Hubbard U, the Alexandria database).

POSCAR file:
```
FePO4
1.0
8.998 0.000 0.000
0.000 9.364 0.000
0.000 0.000 10.037
Fe P O
8 8 32
Direct
0.062 0.209 0.109
0.062 0.291 0.609
0.438 0.709 0.109
0.438 0.791 0.609
0.562 0.209 0.391
0.562 0.291 0.891
0.938 0.709 0.391
0.938 0.791 0.891
0.121 0.628 0.665
0.121 0.872 0.165
0.379 0.128 0.665
0.379 0.372 0.165
0.621 0.628 0.835
0.621 0.872 0.335
0.879 0.128 0.835
0.879 0.372 0.335
0.003 0.173 0.932
0.003 0.327 0.432
0.098 0.705 0.799
0.098 0.795 0.299
0.114 0.035 0.190
0.114 0.465 0.690
0.225 0.166 0.608
0.225 0.334 0.108
0.275 0.666 0.608
0.275 0.834 0.108
0.386 0.535 0.190
0.386 0.965 0.690
0.402 0.205 0.799
0.402 0.295 0.299
0.497 0.673 0.932
0.497 0.827 0.432
0.503 0.173 0.568
0.503 0.327 0.068
0.598 0.705 0.701
0.598 0.795 0.201
0.614 0.035 0.310
0.614 0.465 0.810
0.725 0.166 0.892
0.725 0.334 0.392
0.775 0.666 0.892
0.775 0.834 0.392
0.886 0.535 0.310
0.886 0.965 0.810
0.902 0.205 0.701
0.902 0.295 0.201
0.997 0.673 0.568
0.997 0.827 0.068
```

## Properties
As for the space-group type: No. 61. The total energy is -340.9 eV per cell.